Material: GaCoPd3
Method: DFT, GGA-PBE
State: optimized geometry

Cell: 4.582 4.582 4.582 Å, 90.00 90.00 90.00°
Sites, in units of the cell vectors:
Pd 0.000 0.500 0.000
Pd 0.500 0.000 0.000
Pd 0.000 0.000 0.500
Co 0.000 0.000 0.000
Ga 0.500 0.500 0.500

Properties
As for the total magnetic moment: 2.8 μB per formula unit. For the formation energy, the calculation gives 0.6401 eV per atom. Its symmetry is No. 221. The final energy is -22.51 eV per formula unit.



Material: K4Zn2Au3
Method: DFT, GGA-PBE
State: optimized geometry

Cell: 4.229 7.945 9.196 Å, 107.13 103.29 90.00°
Sites, in units of the cell vectors:
Au 0.106 0.269 0.211
K 0.236 0.696 0.472
K 0.573 0.896 0.146
Zn 0.583 0.449 0.166
K 0.427 0.104 0.854
K 0.764 0.304 0.528
Au 0.894 0.731 0.789
Zn 0.417 0.551 0.834
Au 0.000 0.500 0.000

Properties
As for the total magnetic moment: 0.0 μB per formula unit. For the formation energy, the calculation gives -0.2058 eV per atom. Its symmetry is No. 12. The final energy is -18.62 eV per formula unit.



Which of these has the lowest total magnetic moment? K4Zn2Au3